(1)
SrRe2Ni | GGA-PBEsol | optimized geometry

abc: 3.1179 3.1179 7.3353
angles: 90.00 90.00 90.00
Last column: nearest neighbours and their distance in Å.
Space group P4/mmm (No. 123)
Asymmetric unit:
Sr1 0.0000 0.0000 0.0000  4 Sr 3.12, 8 Re 3.31
Re1 0.5000 0.5000 0.3368  1 Re 2.39, 4 Ni 2.51
Ni1 0.0000 0.0000 0.5000  8 Re 2.51

Properties
Total magnetic moment (μB/f.u.): 0.00
Energy of formation from the pure elements (meV per atom): 749
Volume (Å³/cell): 71.3

---

(2)
MnPIr2 | GGA-PBEsol | optimized geometry

abc: 2.7102 2.7102 23.6812
angles: 90.00 90.00 120.00
Last column: nearest neighbours and their distance in Å.
Space group R3m (No. 160, hexagonal axes)
Asymmetric unit:
Mn1 0.0000 0.0000 0.0000  3 P 2.28
P1 0.0000 0.0000 0.2636  3 Mn 2.28, 3 Ir 2.45
Ir1 0.0000 0.0000 0.5175  3 P 2.45, 6 Ir 2.71
Ir2 0.0000 0.0000 0.7520  3 Mn 2.56, 9 Ir 2.71-2.82

Properties
Total magnetic moment (μB/f.u.): 0.00
Energy of formation from the pure elements (meV per atom): -145
Volume (Å³/cell): 150.6

---

(3)
ZnCSe2 | GGA-PBEsol | optimized geometry

abc: 6.2304 6.2304 6.2304
angles: 90.00 90.00 90.00
Last column: nearest neighbours and their distance in Å.
Space group Fm-3m (No. 225)
Asymmetric unit:
Zn1 0.0000 0.0000 0.0000  8 Se 2.70
C1 0.0000 0.0000 0.5000  8 Se 2.70
Se1 0.2500 0.2500 0.2500  4 C 2.70, 4 Zn 2.70

Properties
Total magnetic moment (μB/f.u.): 0.00
Electronic total energy (eV/cell): -52.90
Volume (Å³/cell): 241.9

---

(4)
MnCoN2 | GGA-PBEsol | optimized geometry

abc: 2.7321 2.7321 17.3191
angles: 90.00 90.00 120.00
Last column: nearest neighbours and their distance in Å.
Space group R-3m (No. 166, hexagonal axes)
Asymmetric unit:
Mn1 0.0000 0.0000 0.0000  2 N 1.81
Co1 0.0000 0.0000 0.5000  6 N 1.91
N1 0.0000 0.0000 0.1045  1 Mn 1.81, 3 Co 1.91

Properties
Energy above the lowest structure with this stoichiometry (kcal/mol of atoms): 14.03
Total magnetic moment (μB/f.u.): 1.96
Volume (Å³/cell): 112.0

---

(5)
Ni2TeBr | GGA-PBEsol | optimized geometry

abc: 6.5204 6.5204 6.5204
angles: 90.00 90.00 90.00
Last column: nearest neighbours and their distance in Å.
Space group F-43m (No. 216)
Asymmetric unit:
Ni1 0.0000 0.0000 0.0000  4 Br 2.82, 4 Ni 2.82
Ni2 0.2500 0.2500 0.2500  4 Te 2.82, 4 Ni 2.82
Te1 0.0000 0.0000 0.5000  4 Br 2.82, 4 Ni 2.82
Br1 0.2500 0.2500 0.7500  4 Te 2.82, 4 Ni 2.82

Properties
Total magnetic moment (μB/f.u.): 0.00
Electronic total energy (eV/cell): -57.47
Volume (Å³/cell): 277.2

---

(6)
Tc2CO | GGA-PBEsol | optimized geometry

abc: 4.7238 4.7238 8.4966
angles: 90.00 90.00 90.00
Last column: nearest neighbours and their distance in Å.
Space group I-42d (No. 122)
Asymmetric unit:
Tc1 0.2452 0.7500 0.1250  2 C 1.97, 2 O 1.99
C1 0.0000 0.0000 0.0000  4 Tc 1.97
O1 0.0000 0.0000 0.5000  4 Tc 1.99

Properties
Total magnetic moment (μB/f.u.): 0.00
Electronic total energy (eV/cell): -148.49
Volume (Å³/cell): 189.6

---

(7)
Co2PBr | GGA-PBEsol | optimized geometry

abc: 3.6029 3.6047 5.1283
angles: 90.00 90.09 90.00
Last column: nearest neighbours and their distance in Å.
Space group Pm (No. 6)
Asymmetric unit:
Co1 0.0000 0.0000 0.0000  2 P 2.14, 2 Br 2.36
Co2 0.5000 0.5000 0.9997  2 P 2.14, 2 Br 2.36
P1 0.0006 0.5000 0.2247  4 Co 2.14
Br1 0.4993 0.0000 0.7032  4 Co 2.36

Properties
Energy above the lowest structure with this stoichiometry (kcal/mol of atoms): 0.00
Total magnetic moment (μB/f.u.): 0.30
Volume (Å³/cell): 66.6

---

(8)
SiSbTe4 | GGA-PBEsol | optimized geometry

abc: 8.7240 8.7240 8.7240
angles: 90.00 90.00 90.00
Last column: nearest neighbours and their distance in Å.
Space group F-43m (No. 216)
Asymmetric unit:
Si1 0.0000 0.0000 0.0000  12 Te 3.62, 4 Sb 3.78
Sb1 0.2500 0.2500 0.7500  12 Te 3.62, 4 Si 3.78
Te1 0.1249 0.1249 0.3751  6 Te 3.08-3.09

Properties
Total magnetic moment (μB/f.u.): 0.00
Electronic total energy (eV/cell): -79.94
Volume (Å³/cell): 664.0

---

(9)
CsTcAs2Se | GGA-PBEsol | optimized geometry

abc: 4.7804 4.7804 5.4390
angles: 90.00 90.00 90.00
Last column: nearest neighbours and their distance in Å.
Space group P4/mmm (No. 123)
Asymmetric unit:
Cs1 0.0000 0.0000 0.0000  4 Se 3.38, 8 As 3.62
Tc1 0.5000 0.5000 0.5000  4 As 2.39
As1 0.0000 0.5000 0.5000  2 Tc 2.39
Se1 0.5000 0.5000 0.0000  2 Tc 2.72

Properties
Total magnetic moment (μB/f.u.): 0.01
Electronic total energy (eV/cell): -26.13
Volume (Å³/cell): 124.3

---

(10)
SrCIF2 | GGA-PBEsol | optimized geometry

abc: 4.4008 4.4008 7.3206
angles: 90.00 90.00 90.00
Last column: nearest neighbours and their distance in Å.
Space group P4/mmm (No. 123)
Asymmetric unit:
Sr1 0.0000 0.0000 0.0000  4 F 2.20
C1 0.5000 0.5000 0.5000  4 I 3.11
I1 0.0000 0.0000 0.5000  4 C 3.11
F1 0.0000 0.5000 0.0000  2 Sr 2.20

Properties
Total magnetic moment (μB/f.u.): 1.11
Electronic total energy (eV/cell): -20.27
Volume (Å³/cell): 141.8

---

(11)
RePdI2F | GGA-PBEsol | optimized geometry

abc: 5.2927 5.2927 3.9097
angles: 90.00 90.00 90.00
Last column: nearest neighbours and their distance in Å.
Space group P4/mmm (No. 123)
Asymmetric unit:
Re1 0.0000 0.0000 0.0000  8 I 3.29
Pd1 0.5000 0.5000 0.0000  2 F 1.95
I1 0.0000 0.5000 0.5000  2 F 2.65
F1 0.5000 0.5000 0.5000  2 Pd 1.95

Properties
Total magnetic moment (μB/f.u.): 3.78
Electronic total energy (eV/cell): -18.97
Volume (Å³/cell): 109.5

---

(12)
Mn2PBr | GGA-PBEsol | optimized geometry

abc: 6.0875 6.0875 6.0875
angles: 90.00 90.00 90.00
Last column: nearest neighbours and their distance in Å.
Space group Fm-3m (No. 225)
Asymmetric unit:
Mn1 0.2500 0.2500 0.2500  4 Br 2.64, 4 P 2.64
P1 0.0000 0.0000 0.0000  8 Mn 2.64
Br1 0.0000 0.0000 0.5000  8 Mn 2.64

Properties
Energy above the lowest structure with this stoichiometry (kcal/mol of atoms): 10.80
Total magnetic moment (μB/f.u.): 5.69
Volume (Å³/cell): 225.6